1.
CoBiP2Ru: relaxed, PBE.

a b c (Å): 4.1797 5.3089 4.1797
angles (deg): 90.00 90.00 90.00
Last column: nearest neighbours and their distance in Å.
Positions (direct):
Ru1 0.5000 0.5000 0.5000  4 Bi 2.96
Co1 0.0000 0.0000 0.0000  4 P 2.09
Bi1 0.0000 0.5000 0.0000  2 Co 2.65, 4 Ru 2.96
P1 0.0000 0.0000 0.5000  2 Co 2.09
P2 0.5000 0.0000 0.0000  2 Co 2.09

Results
The space group is P4/mmm (123). The value obtained for the formation energy is 3.668 eV per formula unit.


2.
CsPbO2: relaxed, PBE.

a b c (Å): 7.6226 7.6226 6.3655
angles (deg): 53.22 53.22 90.00
Last column: nearest neighbours and their distance in Å.
Positions (direct):
Pb1 0.7500 0.2500 0.5000  4 O 2.27
Pb2 0.2500 0.7500 0.5000  4 O 2.27
Cs1 0.7500 0.7500 0.5000  2 Cs 3.39, 8 O 3.39
Cs2 0.2500 0.2500 0.5000  2 Cs 3.39, 8 O 3.39
O1 0.8591 0.3591 0.0000  2 Pb 2.27
O2 0.1409 0.6409 0.0000  2 Pb 2.27
O3 0.3591 0.1409 0.0000  2 Pb 2.27
O4 0.6409 0.8591 0.0000  2 Pb 2.27

Results
The value obtained for the formation energy without anion corrections is -0.9174 eV per atom. The space group is I4/mcm (140).


3.
Nd2Sm3Er6Sc: relaxed, PBE.

a b c (Å): 6.1410 6.1410 11.7289
angles (deg): 95.00 95.00 119.99
Last column: nearest neighbours and their distance in Å.
Positions (direct):
Nd1 0.3338 0.6662 0.0000  6 Er 3.53, 3 Nd 3.54-3.55, 3 Sc 3.54-3.55
Nd2 0.6662 0.3338 0.0000  6 Er 3.53, 3 Nd 3.54-3.55, 3 Sc 3.54-3.55
Sm1 0.1666 0.8334 0.5000  6 Sm 3.54-3.55, 6 Er 3.55-3.57
Sm2 0.8334 0.1666 0.5000  6 Sm 3.54-3.55, 6 Er 3.55-3.57
Sm3 0.5000 0.5000 0.5000  6 Sm 3.55, 6 Er 3.55-3.56
Er1 0.9177 0.5873 0.7517  1 Sc 3.51, 6 Er 3.51-3.56, 2 Nd 3.53, 3 Sm 3.55-3.57
Er2 0.7520 0.7520 0.2488  6 Er 3.52-3.56, 1 Sc 3.52, 2 Nd 3.53, 3 Sm 3.55-3.56
Er3 0.0823 0.4127 0.2483  1 Sc 3.51, 6 Er 3.51-3.56, 2 Nd 3.53, 3 Sm 3.55-3.57
Er4 0.5873 0.9177 0.7517  1 Sc 3.51, 6 Er 3.51-3.56, 2 Nd 3.53, 3 Sm 3.55-3.57
Er5 0.2480 0.2480 0.7512  6 Er 3.52-3.56, 1 Sc 3.52, 2 Nd 3.53, 3 Sm 3.55-3.56
Er6 0.4127 0.0823 0.2483  1 Sc 3.51, 6 Er 3.51-3.56, 2 Nd 3.53, 3 Sm 3.55-3.57
Sc1 0.0000 0.0000 0.0000  6 Er 3.51-3.52, 6 Nd 3.54-3.55

Results
The space group is C2/m (12). The value obtained for the formation energy is 0.307 eV per formula unit.


4.
CsAcHg2F8: relaxed, PBE.

a b c (Å): 5.8340 5.8340 9.6472
angles (deg): 90.00 90.00 120.00
Last column: nearest neighbours and their distance in Å.
Positions (direct):
Cs1 0.0000 0.0000 0.0000  12 F 3.37-3.71
Ac1 0.0000 0.0000 0.5000  6 F 2.41
Hg1 0.6667 0.3333 0.2069  4 F 2.10-2.24
Hg2 0.3333 0.6667 0.7931  4 F 2.10-2.24
F1 0.3333 0.6667 0.0109  1 Hg 2.10
F2 0.3275 0.2924 0.3353  1 Hg 2.24, 1 Ac 2.41
F3 0.7076 0.0351 0.3353  1 Hg 2.24, 1 Ac 2.41
F4 0.6667 0.3333 0.9891  1 Hg 2.10
F5 0.2924 0.9649 0.6647  1 Hg 2.24, 1 Ac 2.41
F6 0.6725 0.7076 0.6647  1 Hg 2.24, 1 Ac 2.41
F7 0.0351 0.3275 0.6647  1 Hg 2.24, 1 Ac 2.41
F8 0.9649 0.6725 0.3353  1 Hg 2.24, 1 Ac 2.41

Results
The value obtained for the formation energy without anion corrections is -2.4469 eV per atom. The space group is P-3 (147).


5.
Tb4Pm2Nd5: relaxed, PBE.

a b c (Å): 3.5695 11.7652 9.1337
angles (deg): 93.92 101.27 90.00
Last column: nearest neighbours and their distance in Å.
Positions (direct):
Tb1 0.3598 0.2026 0.7197  6 Nd 3.54-3.69, 4 Tb 3.57-3.61, 2 Pm 3.68
Tb2 0.9665 0.7406 0.9331  5 Nd 3.37-3.55, 4 Tb 3.57-3.61
Tb3 0.6402 0.7974 0.2803  6 Nd 3.54-3.69, 4 Tb 3.57-3.61, 2 Pm 3.68
Tb4 0.0335 0.2594 0.0669  5 Nd 3.37-3.55, 4 Tb 3.57-3.61
Pm1 0.7163 0.3528 0.4325  5 Nd 3.53-3.80, 2 Pm 3.57, 4 Tb 3.68-3.82
Pm2 0.2837 0.6472 0.5675  5 Nd 3.53-3.80, 2 Pm 3.57, 4 Tb 3.68-3.82
Nd1 0.9043 0.4639 0.8085  4 Tb 3.37-3.60, 3 Nd 3.48-3.57, 3 Pm 3.53-3.63
Nd2 0.0957 0.5361 0.1915  4 Tb 3.37-3.60, 3 Nd 3.48-3.57, 3 Pm 3.53-3.63
Nd3 0.8237 0.9297 0.6473  4 Tb 3.51-3.69, 6 Nd 3.57-3.67, 2 Pm 3.80
Nd4 0.5000 0.0000 0.0000  6 Tb 3.55-3.58, 6 Nd 3.57-3.67
Nd5 0.1763 0.0703 0.3527  4 Tb 3.51-3.69, 6 Nd 3.57-3.67, 2 Pm 3.80

Results
The space group is C2/m (12). For the distance to the lowest polymorph of the same formula, the calculation gives 0.00 eV per formula unit. The value obtained for the formation energy is 0.770 eV per formula unit.


6.
AcPm12Y6: relaxed, PBE.

a b c (Å): 8.9078 8.9078 8.9078
angles (deg): 99.25 99.25 99.25
Last column: nearest neighbours and their distance in Å.
Positions (direct):
Ac1 0.0000 0.0000 0.0000  6 Y 3.55, 6 Pm 3.97
Pm1 0.7572 0.2428 0.5000  6 Pm 3.40-3.60, 4 Y 3.46-3.67
Pm2 0.3537 0.0778 0.3537  6 Pm 3.40-3.74, 2 Y 3.77
Pm3 0.3537 0.3537 0.0778  6 Pm 3.40-3.74, 2 Y 3.77
Pm4 0.9222 0.6463 0.6463  6 Pm 3.40-3.74, 2 Y 3.77
Pm5 0.6463 0.6463 0.9222  6 Pm 3.40-3.74, 2 Y 3.77
Pm6 0.6463 0.9222 0.6463  6 Pm 3.40-3.74, 2 Y 3.77
Pm7 0.5000 0.7572 0.2428  6 Pm 3.40-3.60, 4 Y 3.46-3.67
Pm8 0.2428 0.5000 0.7572  6 Pm 3.40-3.60, 4 Y 3.46-3.67
Pm9 0.2428 0.7572 0.5000  6 Pm 3.40-3.60, 4 Y 3.46-3.67
Pm10 0.5000 0.2428 0.7572  6 Pm 3.40-3.60, 4 Y 3.46-3.67
Pm11 0.7572 0.5000 0.2428  6 Pm 3.40-3.60, 4 Y 3.46-3.67
Pm12 0.0778 0.3537 0.3537  6 Pm 3.40-3.74, 2 Y 3.77
Y1 0.8957 0.3424 0.8957  1 Y 3.21, 2 Pm 3.46, 1 Ac 3.55
Y2 0.8957 0.8957 0.3424  1 Y 3.21, 2 Pm 3.46, 1 Ac 3.55
Y3 0.3424 0.8957 0.8957  1 Y 3.21, 2 Pm 3.46, 1 Ac 3.55
Y4 0.1043 0.1043 0.6576  1 Y 3.21, 2 Pm 3.46, 1 Ac 3.55
Y5 0.1043 0.6576 0.1043  1 Y 3.21, 2 Pm 3.46, 1 Ac 3.55
Y6 0.6576 0.1043 0.1043  1 Y 3.21, 2 Pm 3.46, 1 Ac 3.55

Results
The space group is R-3m (166). The value obtained for the formation energy is 3.635 eV per formula unit.


7.
Ca2LaMo: relaxed, PBE.

a b c (Å): 8.8952 8.8952 4.6693
angles (deg): 74.78 74.78 22.20
Last column: nearest neighbours and their distance in Å.
Positions (direct):
Mo1 0.7500 0.7500 0.7500  4 La 2.90
Ca1 0.0838 0.0838 0.9163  2 Mo 3.28, 2 Ca 3.42, 2 La 3.64
Ca2 0.4162 0.4162 0.5837  2 Mo 3.28, 2 Ca 3.42, 2 La 3.64
La1 0.2500 0.2500 0.2500  4 Mo 2.90

Results
The space group is Immm (71). For the distance to the lowest polymorph of the same formula, the calculation gives 0.16 eV per formula unit. The value obtained for the formation energy is 1.974 eV per formula unit.


8.
NaMgV: relaxed, PBE.

a b c (Å): 2.9364 15.4838 2.9368
angles (deg): 90.19 110.77 89.90
Last column: nearest neighbours and their distance in Å.
Positions (direct):
Na1 0.4001 0.9305 0.1636  4 Na 2.94
Na2 0.9185 0.1381 0.6343  4 Na 2.94
Mg1 0.8987 0.7392 0.6641  2 V 2.87, 4 Mg 2.94
Mg2 0.4001 0.3292 0.1562  2 V 2.87, 4 Mg 2.94
V1 0.3983 0.5886 0.1611  2 V 2.37
V2 0.8984 0.4799 0.6591  2 V 2.37

Results
The space group is P1 (1). For the distance to the lowest polymorph of the same formula, the calculation gives 0.14 eV per formula unit. The value obtained for the formation energy is 0.741 eV per formula unit.


9.
Pu3SiTc: relaxed, PBE.

a b c (Å): 4.9168 5.6479 7.3130
angles (deg): 102.89 90.00 90.00
Last column: nearest neighbours and their distance in Å.
Positions (direct):
Pu1 0.2500 0.6673 0.5686  1 Pu 2.77, 3 Tc 2.83-2.92, 3 Si 2.95-3.09
Pu2 0.2500 0.2921 0.7571  2 Pu 2.77-3.08, 1 Tc 2.85, 3 Si 3.04-3.09
Pu3 0.2500 0.8085 0.0082  1 Tc 2.70, 2 Si 2.89
Pu4 0.7500 0.3327 0.4314  1 Pu 2.77, 3 Tc 2.83-2.92, 3 Si 2.95-3.09
Pu5 0.7500 0.1915 0.9918  1 Tc 2.70, 2 Si 2.89
Pu6 0.7500 0.7079 0.2429  2 Pu 2.77-3.08, 1 Tc 2.85, 3 Si 3.04-3.09
Si1 0.7500 0.6318 0.8182  1 Tc 2.52
Si2 0.2500 0.3682 0.1818  1 Tc 2.52
Tc1 0.2500 0.0458 0.3715  1 Si 2.52, 1 Pu 2.70
Tc2 0.7500 0.9542 0.6285  1 Si 2.52, 1 Pu 2.70

Results
The value obtained for the formation energy without anion corrections is -0.1831 eV per atom. The space group is P2_1/m (11).


10.
ScTi2Co3: relaxed, PBE.

a b c (Å): 2.9960 2.9960 9.2775
angles (deg): 90.00 90.00 90.00
Last column: nearest neighbours and their distance in Å.
Positions (direct):
Sc1 0.5000 0.5000 0.5000  8 Co 2.77, 4 Sc 3.00
Ti1 0.5000 0.5000 0.8384  8 Co 2.51-2.60
Ti2 0.5000 0.5000 0.1616  8 Co 2.51-2.60
Co1 0.0000 0.0000 0.0000  8 Ti 2.60, 2 Co 2.85
Co2 0.0000 0.0000 0.6931  4 Ti 2.51, 4 Sc 2.77
Co3 0.0000 0.0000 0.3069  4 Ti 2.51, 4 Sc 2.77

Results
The space group is P4/mmm (123). The value obtained for the formation energy is -2.363 eV per formula unit.


11.
KSm2Br8: relaxed, PBE.

a b c (Å): 8.3576 7.5160 7.5160
angles (deg): 73.83 80.70 80.70
Last column: nearest neighbours and their distance in Å.
Positions (direct):
K1 0.0000 0.0000 0.0000  6 Br 3.32-3.44
Sm1 0.4607 0.3230 0.3230  7 Br 2.84-2.99
Sm2 0.5393 0.6770 0.6770  7 Br 2.84-2.99
Br1 0.3318 0.6617 0.0420  2 Sm 2.98-2.99
Br2 0.6682 0.9580 0.3383  2 Sm 2.98-2.99
Br3 0.1829 0.2206 0.2206  1 Sm 2.84
Br4 0.8171 0.7794 0.7794  1 Sm 2.84
Br5 0.3318 0.0420 0.6617  2 Sm 2.98-2.99
Br6 0.6682 0.3383 0.9580  2 Sm 2.98-2.99
Br7 0.7256 0.4431 0.4431  2 Sm 2.88-2.93
Br8 0.2744 0.5569 0.5569  2 Sm 2.88-2.93

Results
The value obtained for the formation energy without anion corrections is -1.6043 eV per atom. The space group is C2/m (12). For the distance to the lowest polymorph of the same formula, the calculation gives 0.44 eV per formula unit.


12.
PaIn2Pd3: relaxed, PBE.

a b c (Å): 3.2684 3.2684 10.6924
angles (deg): 90.00 90.00 90.00
Last column: nearest neighbours and their distance in Å.
Positions (direct):
Pa1 0.5000 0.5000 0.5000  8 Pd 3.03, 4 Pa 3.27
In1 0.5000 0.5000 0.8428  8 Pd 2.86-2.87
In2 0.5000 0.5000 0.1572  8 Pd 2.86-2.87
Pd1 0.0000 0.0000 0.0000  8 In 2.86
Pd2 0.0000 0.0000 0.6837  4 In 2.87, 4 Pa 3.03
Pd3 0.0000 0.0000 0.3163  4 In 2.87, 4 Pa 3.03

Results
The space group is P4/mmm (123). The value obtained for the formation energy is -2.952 eV per formula unit.